# Li2TlAu

Li2TlAu after structural relaxation (GGA-PBE, OQMD).

Raw total energy   -2.64 eV/atom
Density   9.2 g/cm³
V   150.39 Å³/cell
Excess energy over the best structure of this formula in the dataset   120 meV/atom

abc: 4.4360 4.4360 8.8247
angles: 90.00 90.00 120.00
Atoms (fractional coordinates):
Li (0.3333, 0.6667, 0.9203)
Li (0.6667, 0.3333, 0.0797)
Li (0.6667, 0.3333, 0.4203)
Li (0.3333, 0.6667, 0.5797)
Au (0.0000, 0.0000, 0.5000)
Tl (0.3333, 0.6667, 0.2500)
Tl (0.6667, 0.3333, 0.7500)
Au (0.0000, 0.0000, 0.0000)